(1)
Compound: Pm2Si4Tc3
Source: Alexandria
Functional: PBE-GGA
Structure: optimized geometry

POSCAR file:
```
Pm2Si4Tc3
1.0
2.772 -7.545 0.000
2.772 7.545 0.000
0.000 0.000 7.483
Pm Si Tc
4 8 6
Direct
0.108 0.892 0.904
0.392 0.608 0.404
0.608 0.392 0.596
0.892 0.108 0.096
0.181 0.819 0.520
0.190 0.310 0.750
0.310 0.190 0.250
0.319 0.681 0.020
0.681 0.319 0.980
0.690 0.810 0.750
0.810 0.690 0.250
0.819 0.181 0.480
0.000 0.000 0.500
0.026 0.474 0.750
0.474 0.026 0.250
0.500 0.500 0.000
0.526 0.974 0.750
0.974 0.526 0.250
```

DOS(E_F): 6.7 states/eV/f.u.
Energy relative to the lowest polymorph listed for this composition: 124 kJ/mol of formula units
Theoretical density: 7.4 g cm⁻³

(2)
Compound: Co2SiPb
Source: Alexandria
Functional: PBE-GGA
Structure: optimized geometry

POSCAR file:
```
Co2SiPb
1.0
-1.800 2.402 3.442
1.800 -2.402 3.442
1.800 2.402 -3.442
Co Si Pb
2 1 1
Direct
0.199 0.199 0.000
0.801 0.801 0.000
0.000 0.500 0.500
0.500 0.000 0.500
```

DOS(E_F): 2.4 states/eV/f.u.
Energy relative to the lowest polymorph listed for this composition: 80 kJ/mol of formula units
Theoretical density: 9.9 g cm⁻³

(3)
Compound: Y2H2SeI
Source: Alexandria
Functional: PBE-GGA
Structure: optimized geometry

POSCAR file:
```
Y2H2SeI
1.0
3.859 0.000 0.000
-1.930 3.342 0.000
0.000 0.000 8.851
Y H Se I
2 2 1 1
Direct
0.333 0.667 0.210
0.667 0.333 0.790
0.333 0.667 0.757
0.667 0.333 0.243
0.000 0.000 0.000
0.000 0.000 0.500
```

DOS(E_F): 1.5 states/eV/f.u.
Raw total energy: -5.211 eV/atom
Theoretical density: 5.6 g cm⁻³

(4)
Compound: Pm5Pr3Bi8
Source: Alexandria
Functional: PBE-GGA
Structure: optimized geometry

POSCAR file:
```
Pm5Pr3Bi8
1.0
4.603 2.658 7.515
-4.603 2.658 7.515
0.000 -5.315 7.515
Pm Pr Bi
5 3 8
Direct
0.000 0.000 0.000
0.000 0.500 0.500
0.500 0.000 0.500
0.500 0.500 0.000
0.500 0.500 0.500
0.000 0.000 0.500
0.000 0.500 0.000
0.500 0.000 0.000
0.250 0.250 0.747
0.250 0.747 0.250
0.251 0.251 0.251
0.253 0.750 0.750
0.747 0.250 0.250
0.749 0.749 0.749
0.750 0.253 0.750
0.750 0.750 0.253
```

DOS(E_F): 2.4 states/eV/f.u.
Theoretical density: 8.5 g cm⁻³
Energy relative to the elements: -15.157 eV per formula unit

(5)
Compound: NaDyGaPb
Source: Alexandria
Functional: PBE-GGA
Structure: optimized geometry

POSCAR file:
```
NaDyGaPb
1.0
0.000 3.711 3.711
3.711 0.000 3.711
3.711 3.711 0.000
Na Dy Ga Pb
1 1 1 1
Direct
0.000 0.000 0.000
0.500 0.500 0.500
0.250 0.250 0.250
0.750 0.750 0.750
```

DOS(E_F): 1.9 states/eV/f.u.
Theoretical density: 7.5 g cm⁻³
Energy relative to the elements: -0.955 eV per formula unit

(6)
Compound: LiFe2Br
Source: Alexandria
Functional: PBE-GGA
Structure: optimized geometry

POSCAR file:
```
LiFe2Br
1.0
-1.534 2.224 5.264
1.534 -2.224 5.264
1.534 2.224 -5.264
Li Fe Br
1 2 1
Direct
0.000 0.000 0.000
0.475 0.475 0.000
0.641 0.141 0.500
0.279 0.779 0.500
```

DOS(E_F): 2.7 states/eV/f.u.
Energy relative to the lowest polymorph listed for this composition: 152 kJ/mol of formula units
Theoretical density: 4.6 g cm⁻³

(7)
Compound: Tb2EuPu
Source: Alexandria
Functional: PBE-GGA
Structure: optimized geometry

POSCAR file:
```
Tb2EuPu
1.0
1.748 1.009 12.418
-1.748 1.009 12.418
0.000 -2.018 12.418
Tb Eu Pu
2 1 1
Direct
0.092 0.092 0.092
0.908 0.908 0.908
0.000 0.000 0.000
0.500 0.500 0.500
```

DOS(E_F): 12.6 states/eV/f.u.
Energy relative to the lowest polymorph listed for this composition: 40 kJ/mol of formula units
Theoretical density: 9.0 g cm⁻³
Energy relative to the elements: 0.979 eV per formula unit

(8)
Compound: Y3Tm
Source: Alexandria
Functional: PBE-GGA
Structure: optimized geometry

POSCAR file:
```
Y3Tm
1.0
5.023 0.000 0.000
0.000 5.023 0.000
0.000 0.000 5.023
Y Tm
3 1
Direct
0.000 0.000 0.500
0.000 0.500 0.000
0.500 0.000 0.000
0.500 0.500 0.500
```

DOS(E_F): 6.0 states/eV/f.u.
Energy relative to the lowest polymorph listed for this composition: 11 kJ/mol of formula units
Theoretical density: 5.7 g cm⁻³
Energy relative to the elements: 0.112 eV per formula unit

(9)
Compound: ErTm3Sc2
Source: Alexandria
Functional: PBE-GGA
Structure: optimized geometry

POSCAR file:
```
ErTm3Sc2
1.0
7.104 -4.803 0.000
7.104 4.803 0.000
0.000 0.000 5.379
Er Tm Sc
2 6 4
Direct
0.220 0.780 0.750
0.780 0.220 0.250
0.125 0.389 0.250
0.389 0.125 0.750
0.406 0.594 0.250
0.594 0.406 0.750
0.611 0.875 0.250
0.875 0.611 0.750
0.011 0.202 0.750
0.202 0.011 0.250
0.798 0.989 0.750
0.989 0.798 0.250
```

DOS(E_F): 11.1 states/eV/f.u.
Theoretical density: 6.9 g cm⁻³
Energy relative to the elements: 1.850 eV per formula unit

(10)
Compound: YScTl2
Source: Alexandria
Functional: PBE-GGA
Structure: optimized geometry

POSCAR file:
```
YScTl2
1.0
3.620 0.000 0.000
0.000 4.735 0.000
0.000 0.000 6.318
Y Sc Tl
1 1 2
Direct
0.000 0.000 0.000
0.500 0.500 0.302
0.000 0.000 0.487
0.500 0.500 0.795
```

DOS(E_F): 4.4 states/eV/f.u.
Theoretical density: 8.3 g cm⁻³
Energy relative to the elements: -0.540 eV per formula unit

(11)
Compound: CsNaTe
Source: Alexandria
Functional: PBE-GGA
Structure: optimized geometry

POSCAR file:
```
CsNaTe
1.0
5.288 0.000 0.000
-2.644 4.580 0.000
0.000 0.000 5.466
Cs Na Te
1 1 1
Direct
0.000 0.000 0.000
0.667 0.333 0.500
0.333 0.667 0.500
```

DOS(E_F): 0.0 states/eV/f.u.
Raw total energy: -2.722 eV/atom
Theoretical density: 3.6 g cm⁻³

(12)
Compound: LiLaAlPt2
Source: Alexandria
Functional: PBE-GGA
Structure: optimized geometry

POSCAR file:
```
LiLaAlPt2
1.0
-1.998 1.998 6.054
1.998 -1.998 6.054
1.998 1.998 -6.054
Li La Al Pt
1 1 1 2
Direct
0.000 0.000 0.000
0.750 0.250 0.500
0.500 0.500 0.000
0.134 0.634 0.500
0.366 0.866 0.500
```

DOS(E_F): 1.4 states/eV/f.u.
Theoretical density: 9.7 g cm⁻³
Energy relative to the elements: -4.967 eV per formula unit